(1)
{
  "formula": "Nb2PO",
  "functional": "GGA-PBE",
  "state": "relaxed",
  "lattice_angstrom": [[-2.384, 2.384, 6.019], [2.384, -2.384, 6.019], [2.384, 2.384, -6.019]],
  "species": ["Nb", "Nb", "Nb", "Nb", "P", "P", "O", "O"],
  "fractional_positions": [[0.051, 0.625, 0.926], [0.375, 0.301, 0.426], [0.699, 0.125, 0.074], [0.875, 0.949, 0.574], [0.250, 0.750, 0.500], [0.500, 0.500, 0.000], [0.000, 0.000, 0.000], [0.750, 0.250, 0.500]],
  "mass_density_g_cm3": 5.6,
  "e_above_lowest_polymorph_ev_per_fu": 0.05,
  "n_ef_per_ev_cell": 9.9,
  "raw_formation_energy_ev_per_atom": -0.762
}



(2)
{
  "formula": "Rb2MgIF6",
  "functional": "GGA-PBE",
  "state": "relaxed",
  "lattice_angstrom": [[-3.397, 3.397, 4.177], [3.397, -3.397, 4.177], [3.397, 3.397, -4.177]],
  "species": ["Rb", "Rb", "Mg", "I", "F", "F", "F", "F", "F", "F"],
  "fractional_positions": [[0.250, 0.750, 0.500], [0.750, 0.250, 0.500], [0.000, 0.000, 0.000], [0.500, 0.500, 0.000], [0.205, 0.205, 0.411], [0.205, 0.795, 0.000], [0.253, 0.253, 0.000], [0.747, 0.747, 0.000], [0.795, 0.205, 0.000], [0.795, 0.795, 0.589]],
  "mass_density_g_cm3": 3.8,
  "n_ef_per_ev_cell": 5.4,
  "raw_formation_energy_ev_per_atom": -2.368
}



(3)
{
  "formula": "SrLi4Zn4",
  "functional": "GGA-PBE",
  "state": "relaxed",
  "lattice_angstrom": [[-4.450, 4.450, 2.291], [4.450, -4.450, 2.291], [4.450, 4.450, -2.291]],
  "species": ["Sr", "Li", "Li", "Li", "Li", "Zn", "Zn", "Zn", "Zn"],
  "fractional_positions": [[0.000, 0.000, 0.000], [0.097, 0.607, 0.704], [0.393, 0.097, 0.489], [0.607, 0.903, 0.511], [0.903, 0.393, 0.296], [0.229, 0.330, 0.558], [0.330, 0.771, 0.101], [0.670, 0.229, 0.899], [0.771, 0.670, 0.442]],
  "mass_density_g_cm3": 3.5,
  "n_ef_per_ev_cell": 5.1,
  "delta_e_f_mev_per_atom": -79
}



(4)
{
  "formula": "Rb3CuO3",
  "functional": "GGA-PBE",
  "state": "relaxed",
  "lattice_angstrom": [[8.095, 0.000, 0.000], [-4.047, 7.010, 0.000], [0.000, 0.000, 5.859]],
  "species": ["Rb", "Rb", "Rb", "Rb", "Rb", "Rb", "Cu", "Cu", "O", "O", "O", "O", "O", "O"],
  "fractional_positions": [[0.094, 0.726, 0.250], [0.274, 0.368, 0.250], [0.368, 0.094, 0.750], [0.632, 0.906, 0.250], [0.726, 0.632, 0.750], [0.906, 0.274, 0.750], [0.333, 0.667, 0.750], [0.667, 0.333, 0.250], [0.126, 0.697, 0.750], [0.303, 0.429, 0.750], [0.429, 0.126, 0.250], [0.571, 0.874, 0.750], [0.697, 0.571, 0.250], [0.874, 0.303, 0.250]],
  "mass_density_g_cm3": 3.7,
  "e_above_lowest_polymorph_ev_per_fu": 0.00,
  "raw_formation_energy_ev_per_atom": -1.000
}



(5)
{
  "formula": "PmThNpN3",
  "functional": "GGA-PBE",
  "state": "relaxed",
  "lattice_angstrom": [[7.232, 0.000, 0.000], [0.000, 3.668, 0.000], [-0.645, 0.000, 8.808]],
  "species": ["Pm", "Pm", "Th", "Th", "Np", "Np", "N", "N", "N", "N", "N", "N"],
  "fractional_positions": [[0.146, 0.250, 0.127], [0.854, 0.750, 0.873], [0.371, 0.750, 0.840], [0.629, 0.250, 0.160], [0.050, 0.250, 0.588], [0.950, 0.750, 0.412], [0.113, 0.250, 0.848], [0.217, 0.750, 0.590], [0.392, 0.750, 0.114], [0.608, 0.250, 0.886], [0.783, 0.250, 0.410], [0.887, 0.750, 0.152]],
  "mass_density_g_cm3": 9.3,
  "n_ef_per_ev_cell": 7.1,
  "raw_formation_energy_ev_per_atom": -1.061
}



(6)
{
  "formula": "SrBiPd3",
  "functional": "GGA-PBE",
  "state": "relaxed",
  "lattice_angstrom": [[5.151, 0.000, 0.000], [0.000, 5.151, 0.000], [0.000, 0.000, 5.151]],
  "species": ["Sr", "Bi", "Pd", "Pd", "Pd"],
  "fractional_positions": [[0.000, 0.000, 0.000], [0.500, 0.500, 0.500], [0.000, 0.500, 0.500], [0.500, 0.000, 0.500], [0.500, 0.500, 0.000]],
  "mass_density_g_cm3": 7.5,
  "e_above_lowest_polymorph_ev_per_fu": 1.31,
  "n_ef_per_ev_cell": 4.5,
  "delta_e_f_mev_per_atom": -142
}



(7)
{
  "formula": "Mn3P",
  "functional": "GGA-PBE",
  "state": "relaxed",
  "lattice_angstrom": [[2.673, 0.000, 0.000], [-1.336, 2.315, 0.000], [0.000, 0.000, 7.162]],
  "species": ["Mn", "Mn", "Mn", "P"],
  "fractional_positions": [[0.000, 0.000, 0.000], [0.333, 0.667, 0.269], [0.333, 0.667, 0.731], [0.000, 0.000, 0.500]],
  "mass_density_g_cm3": 7.3,
  "n_ef_per_ev_cell": 4.3,
  "delta_e_f_mev_per_atom": -73
}



(8)
{
  "formula": "La3HfBr",
  "functional": "GGA-PBE",
  "state": "relaxed",
  "lattice_angstrom": [[5.850, 0.000, 0.000], [0.000, 5.850, 0.000], [0.000, 0.000, 5.850]],
  "species": ["La", "La", "La", "Hf", "Br"],
  "fractional_positions": [[0.000, 0.000, 0.500], [0.000, 0.500, 0.000], [0.500, 0.000, 0.000], [0.000, 0.000, 0.000], [0.500, 0.500, 0.500]],
  "mass_density_g_cm3": 5.6,
  "e_above_lowest_polymorph_ev_per_fu": 1.21,
  "n_ef_per_ev_cell": 5.1,
  "raw_formation_energy_ev_per_atom": 0.271
}